Entry 1:
Compound: SrMg14Zr
Source: the Alexandria database
Functional: GGA-PBE
Structure: relaxed

Energy relative to the elements ... 0.0252 eV per atom
Symmetry ... Cmmm, No. 65
Theoretical density ... 2.240 Mg/m³
Density of states at the Fermi level ... 7.800 states/eV/cell
DFT total energy ... -2.009 eV per atom

Cell: 6.8160 6.8160 8.2825 Å, 90.00 90.00 90.08°
With the nearest neighbours (Å) after each atom.
Sites, in units of the cell vectors:
Sr1 0.3750 0.6250 0.5000  12 Mg 3.33-3.41
Mg1 0.3750 0.6250 0.0000  12 Mg 3.22-3.41
Mg2 0.1118 0.3618 0.7604  8 Mg 3.02-3.24, 1 Zr 3.14, 1 Sr 3.33
Mg3 0.3750 0.1250 0.0000  12 Mg 3.13-3.41
Mg4 0.6386 0.3614 0.7600  8 Mg 3.02-3.23, 1 Zr 3.14, 1 Sr 3.33
Mg5 0.6382 0.8882 0.2396  8 Mg 3.02-3.24, 1 Zr 3.14, 1 Sr 3.33
Zr1 0.8750 0.1250 0.5000  12 Mg 3.14-3.41
Mg6 0.8750 0.6250 0.0000  12 Mg 3.13-3.41
Mg7 0.6382 0.8882 0.7604  8 Mg 3.02-3.24, 1 Zr 3.14, 1 Sr 3.33
Mg8 0.1118 0.3618 0.2396  8 Mg 3.02-3.24, 1 Zr 3.14, 1 Sr 3.33
Mg9 0.6386 0.3614 0.2400  8 Mg 3.02-3.23, 1 Zr 3.14, 1 Sr 3.33
Mg10 0.1114 0.8886 0.2400  8 Mg 3.02-3.23, 1 Zr 3.14, 1 Sr 3.33
Mg11 0.8750 0.1250 0.0000  8 Mg 3.02
Mg12 0.3750 0.1250 0.5000  8 Mg 3.23-3.24, 2 Zr 3.41, 2 Sr 3.41
Mg13 0.1114 0.8886 0.7600  8 Mg 3.02-3.23, 1 Zr 3.14, 1 Sr 3.33
Mg14 0.8750 0.6250 0.5000  8 Mg 3.23-3.24, 2 Zr 3.41, 2 Sr 3.41

Entry 2:
Compound: Sr2MgZr
Source: the Alexandria database
Functional: GGA-PBE
Structure: relaxed

Energy relative to the elements ... 0.6989 eV per atom
Symmetry ... I-42d, No. 122
Theoretical density ... 3.355 Mg/m³
Density of states at the Fermi level ... 6.868 states/eV/cell
DFT total energy ... -2.678 eV per atom

Cell: 9.1852 9.1852 7.3366 Å, 51.25 51.25 90.00°
With the nearest neighbours (Å) after each atom.
Sites, in units of the cell vectors:
Mg1 0.2500 0.7500 0.5000  4 Sr 3.26, 2 Zr 3.41
Mg2 0.5000 0.5000 0.0000  4 Sr 3.26, 2 Zr 3.41
Sr1 0.3750 0.3903 0.7500  2 Mg 3.26, 2 Sr 3.42, 2 Zr 3.46
Zr1 0.0000 0.0000 0.0000  2 Mg 3.41, 4 Sr 3.46
Sr2 0.1403 0.6250 0.2500  2 Mg 3.26, 2 Sr 3.42, 2 Zr 3.46
Sr3 0.8750 0.8597 0.7500  2 Mg 3.26, 2 Sr 3.42, 2 Zr 3.46
Zr2 0.7500 0.2500 0.5000  2 Mg 3.41, 4 Sr 3.46
Sr4 0.6097 0.1250 0.2500  2 Mg 3.26, 2 Sr 3.42, 2 Zr 3.46

Entry 3:
Compound: Sr2MgZr2
Source: the Alexandria database
Functional: GGA-PBE
Structure: relaxed

Energy relative to the elements ... 0.7000 eV per atom
Symmetry ... P4/mbm, No. 127
Theoretical density ... 3.785 Mg/m³
Density of states at the Fermi level ... 9.770 states/eV/cell
DFT total energy ... -3.711 eV per atom

Cell: 9.8668 9.8668 3.4424 Å, 90.00 90.00 90.00°
With the nearest neighbours (Å) after each atom.
Sites, in units of the cell vectors:
Mg1 0.5000 0.5000 0.0000  2 Mg 3.44, 4 Sr 3.58
Mg2 0.0000 0.0000 0.0000  2 Mg 3.44, 4 Sr 3.58
Zr1 0.4000 0.1000 0.5000  1 Zr 2.79
Zr2 0.6000 0.9000 0.5000  1 Zr 2.79
Sr1 0.6920 0.1920 0.0000  6 Zr 3.37-3.48, 2 Sr 3.44, 2 Mg 3.58
Zr3 0.1000 0.6000 0.5000  1 Zr 2.79
Zr4 0.9000 0.4000 0.5000  1 Zr 2.79
Sr2 0.3080 0.8080 0.0000  6 Zr 3.37-3.48, 2 Sr 3.44, 2 Mg 3.58
Sr3 0.8080 0.6920 0.0000  6 Zr 3.37-3.48, 2 Sr 3.44, 2 Mg 3.58
Sr4 0.1920 0.3080 0.0000  6 Zr 3.37-3.48, 2 Sr 3.44, 2 Mg 3.58

Entry 4:
Compound: Sr2MgZr
Source: the Alexandria database
Functional: GGA-PBE
Structure: relaxed

Energy relative to the elements ... 0.4654 eV per atom
Symmetry ... P4/mmm, No. 123
Theoretical density ... 3.482 Mg/m³
Density of states at the Fermi level ... 6.437 states/eV/cell
DFT total energy ... -2.911 eV per atom

Cell: 5.1999 5.1643 5.1643 Å, 90.00 90.00 90.00°
With the nearest neighbours (Å) after each atom.
Sites, in units of the cell vectors:
Sr1 0.0000 0.5000 0.5000  4 Sr 3.65, 4 Zr 3.66, 4 Mg 3.66
Mg1 0.5000 0.0000 0.5000  4 Zr 3.65, 8 Sr 3.66
Zr1 0.5000 0.5000 0.0000  4 Mg 3.65, 8 Sr 3.66
Sr2 0.0000 0.0000 0.0000  4 Sr 3.65, 4 Zr 3.66, 4 Mg 3.66

Entry 5:
Compound: Sr2MgZr
Source: the Alexandria database
Functional: GGA-PBE
Structure: relaxed

Energy relative to the elements ... 0.4768 eV per atom
Symmetry ... C2/m, No. 12
Theoretical density ... 3.542 Mg/m³
Density of states at the Fermi level ... 5.383 states/eV/cell
DFT total energy ... -2.900 eV per atom

Cell: 6.2792 6.2792 6.3923 Å, 80.16 80.16 33.34°
With the nearest neighbours (Å) after each atom.
Sites, in units of the cell vectors:
Sr1 0.0012 0.0012 0.0044  6 Sr 3.60-3.72, 3 Zr 3.62-3.63, 3 Mg 3.62-3.68
Mg1 0.7500 0.7500 0.7500  2 Mg 3.60, 6 Sr 3.62-3.68, 4 Zr 3.67
Sr2 0.4988 0.4988 0.4956  6 Sr 3.60-3.72, 3 Zr 3.62-3.63, 3 Mg 3.62-3.68
Zr1 0.2500 0.2500 0.2500  2 Zr 3.60, 6 Sr 3.62-3.63, 4 Mg 3.67

Entry 6:
Compound: Sr2MgZr
Source: the Alexandria database
Functional: GGA-PBE
Structure: relaxed

Energy relative to the elements ... 0.3498 eV per atom
Symmetry ... Imm2, No. 44
Theoretical density ... 3.458 Mg/m³
Density of states at the Fermi level ... 4.840 states/eV/cell
DFT total energy ... -3.027 eV per atom

Cell: 7.1344 7.1344 7.1344 Å, 149.59 130.01 59.64°
With the nearest neighbours (Å) after each atom.
Sites, in units of the cell vectors:
Sr1 0.0233 0.0233 0.0000  2 Mg 3.61, 4 Zr 3.62, 6 Sr 3.74-4.01
Sr2 0.7366 0.2366 0.5000  4 Mg 3.58, 2 Sr 3.74, 2 Zr 3.82
Zr1 0.4672 0.4672 0.0000  2 Mg 3.05
Mg1 0.2730 0.7730 0.5000  2 Zr 3.05

Entry 7:
Compound: SrMg4Zr
Source: the Alexandria database
Functional: GGA-PBE
Structure: relaxed

Energy relative to the elements ... 0.1424 eV per atom
Symmetry ... F-43m, No. 216
Theoretical density ... 2.935 Mg/m³
Density of states at the Fermi level ... 6.723 states/eV/cell
DFT total energy ... -2.626 eV per atom

Cell: 6.0446 6.0446 6.0446 Å, 60.00 60.00 60.00°
With the nearest neighbours (Å) after each atom.
Sites, in units of the cell vectors:
Mg1 0.3731 0.8807 0.3731  6 Mg 2.98-3.07
Sr1 0.7500 0.7500 0.7500  12 Mg 3.55, 4 Zr 3.70
Mg2 0.3731 0.3731 0.8807  6 Mg 2.98-3.07
Mg3 0.3731 0.3731 0.3731  6 Mg 2.98-3.07
Mg4 0.8807 0.3731 0.3731  6 Mg 2.98-3.07
Zr1 0.0000 0.0000 0.0000  12 Mg 3.54, 4 Sr 3.70

Entry 8:
Compound: SrMg2Zr
Source: the Alexandria database
Functional: GGA-PBE
Structure: relaxed

Energy relative to the elements ... 0.3403 eV per atom
Symmetry ... P2/m, No. 10
Theoretical density ... 3.380 Mg/m³
Density of states at the Fermi level ... 4.633 states/eV/cell
DFT total energy ... -3.015 eV per atom

Cell: 3.1869 6.4493 6.6419 Å, 54.93 90.00 90.00°
With the nearest neighbours (Å) after each atom.
Sites, in units of the cell vectors:
Sr1 0.5000 0.5000 0.5000  2 Sr 3.19, 6 Mg 3.32-3.41
Mg1 0.0000 0.0000 0.0000  2 Mg 3.19, 2 Zr 3.32, 4 Sr 3.41
Mg2 0.5000 0.5000 0.0000  2 Mg 3.19, 2 Sr 3.32, 4 Zr 3.41
Zr1 0.0000 0.0000 0.5000  2 Zr 3.19, 6 Mg 3.32-3.41

Entry 9:
Compound: Sr2MgZr
Source: the Alexandria database
Functional: GGA-PBE
Structure: relaxed

Energy relative to the elements ... 0.4792 eV per atom
Symmetry ... Pmmm, No. 47
Theoretical density ... 3.625 Mg/m³
Density of states at the Fermi level ... 5.091 states/eV/cell
DFT total energy ... -2.897 eV per atom

Cell: 4.1869 5.6053 5.6759 Å, 90.00 90.00 90.00°
With the nearest neighbours (Å) after each atom.
Sites, in units of the cell vectors:
Sr1 0.0000 0.0000 0.0000  4 Sr 3.50, 4 Zr 3.53
Sr2 0.5000 0.5000 0.0000  4 Sr 3.50, 4 Mg 3.53
Zr1 0.5000 0.0000 0.5000  4 Mg 3.50, 4 Sr 3.53
Mg1 0.0000 0.5000 0.5000  4 Zr 3.50, 4 Sr 3.53

Entry 10:
Compound: SrMg2Zr
Source: the Alexandria database
Functional: GGA-PBE
Structure: relaxed

Energy relative to the elements ... 0.2402 eV per atom
Symmetry ... Pm, No. 6
Theoretical density ... 3.395 Mg/m³
Density of states at the Fermi level ... 3.792 states/eV/cell
DFT total energy ... -3.115 eV per atom

Cell: 5.0733 3.3166 6.8121 Å, 76.08 90.00 90.00°
With the nearest neighbours (Å) after each atom.
Sites, in units of the cell vectors:
Mg1 0.5000 0.0784 0.2261  4 Mg 3.01-3.32, 2 Zr 3.18-3.19
Zr1 0.5000 0.7791 0.8142  6 Mg 3.18-3.23, 2 Zr 3.32
Mg2 0.0000 0.1923 0.9798  4 Mg 3.01-3.32, 4 Zr 3.21-3.23, 1 Sr 3.31
Sr1 0.0000 0.4502 0.4799  6 Mg 3.31-3.69, 2 Sr 3.32

Entry 11:
Compound: Sr2MgZr
Source: the Alexandria database
Functional: GGA-PBE
Structure: relaxed

Energy relative to the elements ... 0.2407 eV per atom
Symmetry ... P4mm, No. 99
Theoretical density ... 3.456 Mg/m³
Density of states at the Fermi level ... 3.802 states/eV/cell
DFT total energy ... -3.136 eV per atom

Cell: 3.7594 3.7594 9.8868 Å, 90.00 90.00 90.00°
With the nearest neighbours (Å) after each atom.
Sites, in units of the cell vectors:
Zr1 0.0000 0.0000 0.5523  4 Mg 3.06
Sr1 0.5000 0.5000 0.2970  4 Zr 3.67, 4 Sr 3.76, 1 Mg 4.04
Mg1 0.5000 0.5000 0.7058  4 Zr 3.06
Sr2 0.0000 0.0000 0.9449  4 Mg 3.56, 4 Sr 3.76, 1 Zr 3.88

Entry 12:
Compound: SrMg2Zr
Source: the Alexandria database
Functional: GGA-PBE
Structure: relaxed

Energy relative to the elements ... 0.5860 eV per atom
Symmetry ... I-42d, No. 122
Theoretical density ... 3.084 Mg/m³
Density of states at the Fermi level ... 8.656 states/eV/cell
DFT total energy ... -2.769 eV per atom

Cell: 8.6555 8.6555 6.9388 Å, 51.41 51.41 90.00°
With the nearest neighbours (Å) after each atom.
Sites, in units of the cell vectors:
Mg1 0.8750 0.9043 0.7500  2 Zr 3.00, 2 Mg 3.31, 2 Sr 3.35
Zr1 0.0000 0.0000 0.0000  4 Mg 3.00, 2 Sr 3.27
Sr1 0.2500 0.7500 0.5000  2 Zr 3.27, 4 Mg 3.35
Sr2 0.5000 0.5000 0.0000  2 Zr 3.27, 4 Mg 3.35
Zr2 0.7500 0.2500 0.5000  4 Mg 3.00, 2 Sr 3.27
Mg2 0.0957 0.6250 0.2500  2 Zr 3.00, 2 Mg 3.31, 2 Sr 3.35
Mg3 0.6543 0.1250 0.2500  2 Zr 3.00, 2 Mg 3.31, 2 Sr 3.35
Mg4 0.3750 0.3457 0.7500  2 Zr 3.00, 2 Mg 3.31, 2 Sr 3.35